(1)
Here is a relaxed structure of GaTc5 from Alexandria. Energies are from PBE.

abc: 4.893 4.915 7.449
angles: 90.00 90.00 90.00
Space group P2_12_12 (No. 18)
One atom of each set of equivalent atoms:
1 Ga 0.000 0.000 0.073
2 Tc 0.000 0.500 0.941
3 Tc 0.239 0.135 0.403
4 Tc 0.246 0.124 0.747

Results
For the formation energy, the calculation gives 16 kJ per mole of atoms. For the excess energy over the best structure of this formula in the dataset, the calculation gives 110.7 meV/atom.

(2)
Here is a relaxed structure of Ga2Tc from Alexandria. Energies are from PBE.

abc: 6.718 6.718 2.672
angles: 90.00 90.00 90.00
Space group P4_2/mnm (No. 136)
One atom of each set of equivalent atoms:
1 Ga 0.234 0.234 0.000
2 Tc 0.000 0.000 0.500

Results
For the formation energy, the calculation gives 9 kJ per mole of atoms. For the excess energy over the best structure of this formula in the dataset, the calculation gives 225.1 meV/atom.

| no. | spin magnetization (μB/f.u.) |
| --- | --- |
| 1 | 0.0 |
| 2 | 0.0 |